# AlMoPt2 (PBE, optimized geometry)
# Formation energy (meV/atom): -482
# Density of states at the Fermi level (states/eV per atom): 0.39
data_AlMoPt2
_cell_length_a 5.5166
_cell_length_b 7.9398
_cell_length_c 2.7798
_cell_angle_alpha 90.00
_cell_angle_beta 90.00
_cell_angle_gamma 90.00
_symmetry_space_group_name_H-M 'C m m m'
_symmetry_Int_Tables_number 65
_symmetry_space_group_name_Hall '-C 2 2'
loop_
_atom_site_label
_atom_site_type_symbol
_atom_site_fract_x
_atom_site_fract_y
_atom_site_fract_z
Al1 Al 0.0000 0.0000 0.0000
Mo1 Mo 0.0000 0.5000 0.0000
Pt1 Pt 0.2500 0.2500 0.5000